Material: AlCoO2
Method: DFT, PBEsol
State: optimized geometry

Values from the calculation:
ΔE_f (raw): -1.663 eV per atom
symmetry: I-42d, No. 122

a = 4.4793 Å, b = 4.4793 Å, c = 5.2742 Å
α = 115.13°, β = 115.13°, γ = 90.00°
Each line ends with the local moment (μB).
Fractional positions:
O1 0.1250 0.1775 0.7500  0.06
Co1 0.0000 0.0000 0.0000  2.00
O2 0.4275 0.8750 0.2500  0.06
O3 0.6250 0.5725 0.7500  0.06
Al1 0.5000 0.5000 0.0000  0.00
O4 0.8225 0.3750 0.2500  0.06
Co2 0.2500 0.7500 0.5000  2.00
Al2 0.7500 0.2500 0.5000  0.00